# GaCoIO2, optimized geometry, DFT GGA+U
# Offset from the most stable computed form (eV/atom): 0.240
# Symmetry: P4/mmm (123)
# E_tot (eV per atom): -3.965
data_GaCoIO2
_chemical_formula_sum 'Ga1 Co1 I1 O2'
_cell_length_a 3.9340
_cell_length_b 3.9340
_cell_length_c 5.8098
_cell_angle_alpha 90.00
_cell_angle_beta 90.00
_cell_angle_gamma 90.00
_space_group_name_H-M_alt 'P 1'
_space_group_IT_number 1
loop_
_space_group_symop_operation_xyz
'x,y,z'
loop_
_atom_site_label
_atom_site_fract_x
_atom_site_fract_y
_atom_site_fract_z
O1 0.5000 0.0000 0.0000
Co1 0.0000 0.0000 0.0000
O2 0.0000 0.5000 0.0000
Ga1 0.5000 0.5000 0.5000
I1 0.0000 0.0000 0.5000